First-principles (GGA-PBE) data for GaFe2RhN after structural relaxation, as listed in Alexandria.

Properties
The theoretical density comes out at 8.33 g/cm3. The uncorrected formation energy is -0.138 eV/atom. The uncorrected energy is -7.26 eV per atom.

abc: 3.760 3.760 4.207
angles: 90.00 90.00 90.00
Last column: magnetic moment on the atom in μB.
Atoms (fractional coordinates):
Fe  0.500  0.000  0.000  2.06
Rh  0.000  0.000  0.500  0.09
Fe  0.000  0.500  0.000  2.06
N  0.000  0.000  0.000  0.01
Ga  0.500  0.500  0.500  -0.09